Entry 1:
First-principles (GGA-PBE) data for a geometry-optimized MgTaB4 structure, as listed in the Alexandria database.

As for the space group: Immm. Its crystal system is orthorhombic.

a = 4.5880 Å, b = 4.5880 Å, c = 4.5880 Å
α = 141.04°, β = 108.98°, γ = 84.10°
Last column: nearest neighbours and their distance in Å.
Element x y z (fractional)
1 Mg 0.0000 0.0000 0.0000  12 B 2.45-2.47
2 Ta 0.5000 0.5000 0.0000  12 B 2.46
3 B 0.0833 0.7485 0.3348  3 B 1.76-1.78
4 B 0.4136 0.7485 0.6652  3 B 1.76-1.78
5 B 0.5864 0.2515 0.3348  3 B 1.76-1.78
6 B 0.9167 0.2515 0.6652  3 B 1.76-1.78

=====

Entry 2:
First-principles (GGA-PBE) data for a geometry-optimized MgTaTlB2 structure, as listed in the Alexandria database.

As for the space group: P4/mmm. Its crystal system is tetragonal.

a = 4.3838 Å, b = 4.3838 Å, c = 5.0421 Å
α = 90.00°, β = 90.00°, γ = 90.00°
Last column: nearest neighbours and their distance in Å.
Element x y z (fractional)
1 Mg 0.0000 0.0000 0.0000  2 Tl 2.52
2 Ta 0.5000 0.5000 0.0000  4 Mg 3.10, 8 B 3.34
3 Tl 0.0000 0.0000 0.5000  4 B 2.19
4 B 0.0000 0.5000 0.5000  2 Tl 2.19
5 B 0.5000 0.0000 0.5000  2 Tl 2.19

=====

Entry 3:
First-principles (GGA-PBE) data for a geometry-optimized TbMgB structure, as listed in the Alexandria database.

As for the space group: C2/m. Its crystal system is monoclinic.

a = 5.0768 Å, b = 5.0768 Å, c = 7.1243 Å
α = 99.46°, β = 99.46°, γ = 43.75°
Last column: nearest neighbours and their distance in Å.
Element x y z (fractional)
1 Tb 0.1244 0.1244 0.3402  5 B 2.59-2.83
2 Tb 0.8756 0.8756 0.6598  5 B 2.59-2.83
3 Mg 0.3695 0.3695 0.0875  1 B 2.41
4 Mg 0.6305 0.6305 0.9125  1 B 2.41
5 B 0.4235 0.4235 0.4312  1 B 1.59
6 B 0.5765 0.5765 0.5688  1 B 1.59

=====

Entry 4:
First-principles (GGA-PBE) data for a geometry-optimized TbMgB structure, as listed in the Alexandria database.

As for the space group: P-3m1. Its crystal system is trigonal.

a = 3.2986 Å, b = 3.2986 Å, c = 12.2844 Å
α = 90.00°, β = 90.00°, γ = 120.00°
Last column: nearest neighbours and their distance in Å.
Element x y z (fractional)
1 Tb 0.0000 0.0000 0.1532  6 B 2.67-2.69
2 Tb 0.0000 0.0000 0.8468  6 B 2.67-2.69
3 Mg 0.3333 0.6667 0.3951  9 Mg 3.20-3.30, 3 Tb 3.53
4 Mg 0.6667 0.3333 0.6049  9 Mg 3.20-3.30, 3 Tb 3.53
5 B 0.3333 0.6667 0.0009  3 B 1.90
6 B 0.6667 0.3333 0.9991  3 B 1.90

=====

Entry 5:
First-principles (GGA-PBE) data for a geometry-optimized TbMgB4 structure, as listed in the Alexandria database.

As for the space group: Pbam. Its crystal system is orthorhombic.

a = 6.0642 Å, b = 11.7306 Å, c = 3.6695 Å
α = 90.00°, β = 90.00°, γ = 90.00°
Last column: nearest neighbours and their distance in Å.
Element x y z (fractional)
1 Tb 0.1266 0.1504 0.0000  14 B 2.70-2.82
2 Tb 0.3734 0.6504 0.0000  14 B 2.70-2.82
3 Tb 0.6266 0.3496 0.0000  14 B 2.70-2.82
4 Tb 0.8734 0.8496 0.0000  14 B 2.70-2.82
5 Mg 0.1369 0.4103 0.0000  10 B 2.37-2.44
6 Mg 0.3631 0.9103 0.0000  10 B 2.37-2.44
7 Mg 0.6369 0.0897 0.0000  10 B 2.37-2.44
8 Mg 0.8631 0.5897 0.0000  10 B 2.37-2.44
9 B 0.0295 0.6935 0.5000  3 B 1.76-1.95
10 B 0.1143 0.5470 0.5000  3 B 1.77-1.79
11 B 0.1320 0.9703 0.5000  3 B 1.75-1.92
12 B 0.2076 0.8115 0.5000  3 B 1.76-1.95
13 B 0.2924 0.3115 0.5000  3 B 1.76-1.95
14 B 0.3680 0.4703 0.5000  3 B 1.75-1.92
15 B 0.3857 0.0470 0.5000  3 B 1.77-1.79
16 B 0.4705 0.1935 0.5000  3 B 1.76-1.95
17 B 0.5295 0.8065 0.5000  3 B 1.76-1.95
18 B 0.6143 0.9530 0.5000  3 B 1.77-1.79
19 B 0.6320 0.5297 0.5000  3 B 1.75-1.92
20 B 0.7076 0.6885 0.5000  3 B 1.76-1.95
21 B 0.7924 0.1885 0.5000  3 B 1.76-1.95
22 B 0.8680 0.0297 0.5000  3 B 1.75-1.92
23 B 0.8857 0.4530 0.5000  3 B 1.77-1.79
24 B 0.9705 0.3065 0.5000  3 B 1.76-1.95

=====

Entry 6:
First-principles (GGA-PBE) data for a geometry-optimized Tb3MgB structure, as listed in the Alexandria database.

As for the space group: Pm-3m. Its crystal system is cubic.

a = 5.1245 Å, b = 5.1245 Å, c = 5.1245 Å
α = 90.00°, β = 90.00°, γ = 90.00°
Last column: nearest neighbours and their distance in Å.
Element x y z (fractional)
1 Tb 0.0000 0.0000 0.5000  2 B 2.56
2 Tb 0.0000 0.5000 0.0000  2 B 2.56
3 Tb 0.5000 0.0000 0.0000  2 B 2.56
4 Mg 0.5000 0.5000 0.5000  12 Tb 3.62
5 B 0.0000 0.0000 0.0000  6 Tb 2.56

=====

Entry 7:
First-principles (GGA-PBE) data for a geometry-optimized MgTc2B2 structure, as listed in the Alexandria database.

As for the space group: P4/mbm. Its crystal system is tetragonal.

a = 5.9122 Å, b = 5.9122 Å, c = 3.0871 Å
α = 90.00°, β = 90.00°, γ = 90.00°
Last column: nearest neighbours and their distance in Å.
Element x y z (fractional)
1 Mg 0.0000 0.0000 0.0000  4 B 2.39
2 Mg 0.5000 0.5000 0.0000  4 B 2.39
3 Tc 0.1712 0.3288 0.5000  6 B 2.30-2.38
4 Tc 0.3288 0.8288 0.5000  6 B 2.30-2.38
5 Tc 0.6712 0.1712 0.5000  6 B 2.30-2.38
6 Tc 0.8288 0.6712 0.5000  6 B 2.30-2.38
7 B 0.1115 0.6115 0.0000  1 B 1.87
8 B 0.3885 0.1115 0.0000  1 B 1.87
9 B 0.6115 0.8885 0.0000  1 B 1.87
10 B 0.8885 0.3885 0.0000  1 B 1.87

=====

Entry 8:
First-principles (GGA-PBE) data for a geometry-optimized MgTcB2 structure, as listed in the Alexandria database.

As for the space group: I4_1/amd. Its crystal system is tetragonal.

a = 8.1603 Å, b = 8.1603 Å, c = 8.1603 Å
α = 153.81°, β = 153.81°, γ = 37.38°
Last column: nearest neighbours and their distance in Å.
Element x y z (fractional)
1 Mg 0.3750 0.6250 0.7500  4 Tc 2.61, 8 B 2.83
2 Mg 0.6250 0.3750 0.2500  4 Tc 2.61, 8 B 2.83
3 Tc 0.1250 0.8750 0.2500  4 B 2.14
4 Tc 0.8750 0.1250 0.7500  4 B 2.14
5 B 0.0000 0.0000 0.0000  2 B 1.85
6 B 0.0000 0.0000 0.5000  2 B 1.85
7 B 0.0000 0.5000 0.0000  2 B 1.85
8 B 0.5000 0.0000 0.5000  2 B 1.85

=====

Entry 9:
First-principles (GGA-PBE) data for a geometry-optimized MgTc3B structure, as listed in the Alexandria database.

As for the space group: Pm-3m. Its crystal system is cubic.

a = 4.4108 Å, b = 4.4108 Å, c = 4.4108 Å
α = 90.00°, β = 90.00°, γ = 90.00°
Last column: nearest neighbours and their distance in Å.
Element x y z (fractional)
1 Mg 0.0000 0.0000 0.0000  6 Tc 2.21
2 Tc 0.0000 0.0000 0.5000  2 Mg 2.21
3 Tc 0.0000 0.5000 0.0000  2 Mg 2.21
4 Tc 0.5000 0.0000 0.0000  2 Mg 2.21
5 B 0.5000 0.5000 0.5000  12 Tc 3.12

=====

Entry 10:
First-principles (GGA-PBE) data for a geometry-optimized Mg2TcB6 structure, as listed in the Alexandria database.

As for the space group: P6/mmm. Its crystal system is hexagonal.

a = 5.2684 Å, b = 5.2684 Å, c = 3.3727 Å
α = 90.00°, β = 90.00°, γ = 120.00°
Last column: nearest neighbours and their distance in Å.
Element x y z (fractional)
1 Mg 0.3333 0.6667 0.0000  12 B 2.45
2 Mg 0.6667 0.3333 0.0000  12 B 2.45
3 Tc 0.0000 0.0000 0.0000  12 B 2.41
4 B 0.0000 0.3275 0.5000  3 B 1.73-1.82
5 B 0.0000 0.6725 0.5000  3 B 1.73-1.82
6 B 0.3275 0.0000 0.5000  3 B 1.73-1.82
7 B 0.3275 0.3275 0.5000  3 B 1.73-1.82
8 B 0.6725 0.0000 0.5000  3 B 1.73-1.82
9 B 0.6725 0.6725 0.5000  3 B 1.73-1.82

=====

Entry 11:
First-principles (GGA-PBE) data for a geometry-optimized MgTcB14 structure, as listed in the Alexandria database.

As for the space group: Imma. Its crystal system is orthorhombic.

a = 7.2718 Å, b = 7.2718 Å, c = 7.2718 Å
α = 131.91°, β = 87.94°, γ = 111.60°
Last column: nearest neighbours and their distance in Å.
Element x y z (fractional)
1 Mg 0.3988 0.1488 0.2500  8 B 2.48-2.72
2 Mg 0.6012 0.8512 0.7500  8 B 2.48-2.72
3 Tc 0.0000 0.0000 0.5000  12 B 2.21-2.44
4 Tc 0.0000 0.5000 0.0000  12 B 2.21-2.44
5 B 0.0182 0.8847 0.1336  3 B 1.71-1.82
6 B 0.0353 0.2104 0.3368  6 B 1.71-1.87
7 B 0.0353 0.6985 0.8248  6 B 1.71-1.87
8 B 0.0860 0.6713 0.4147  6 B 1.77-1.89
9 B 0.2027 0.5351 0.6676  6 B 1.72-1.89
10 B 0.2283 0.5055 0.4050  6 B 1.77-1.88
11 B 0.2283 0.8233 0.7228  6 B 1.77-1.88
12 B 0.2434 0.3287 0.9147  6 B 1.77-1.89
13 B 0.2511 0.8847 0.3664  3 B 1.71-1.82
14 B 0.3674 0.5351 0.8324  6 B 1.72-1.89
15 B 0.3736 0.2104 0.6752  6 B 1.71-1.87
16 B 0.3736 0.6985 0.1632  6 B 1.71-1.87
17 B 0.3995 0.1767 0.9050  6 B 1.77-1.88
18 B 0.3995 0.4945 0.2228  6 B 1.77-1.88
19 B 0.6005 0.5055 0.7772  6 B 1.77-1.88
20 B 0.6005 0.8233 0.0950  6 B 1.77-1.88
21 B 0.6264 0.3015 0.8368  6 B 1.71-1.87
22 B 0.6264 0.7896 0.3248  6 B 1.71-1.87
23 B 0.6326 0.4649 0.1676  6 B 1.72-1.89
24 B 0.7489 0.1153 0.6336  3 B 1.71-1.82
25 B 0.7566 0.6713 0.0853  6 B 1.77-1.89
26 B 0.7717 0.1767 0.2772  6 B 1.77-1.88
27 B 0.7717 0.4945 0.5950  6 B 1.77-1.88
28 B 0.7973 0.4649 0.3324  6 B 1.72-1.89
29 B 0.9140 0.3287 0.5853  6 B 1.77-1.89
30 B 0.9647 0.3015 0.1752  6 B 1.71-1.87
31 B 0.9647 0.7896 0.6632  6 B 1.71-1.87
32 B 0.9818 0.1153 0.8664  3 B 1.71-1.82

=====

Entry 12:
First-principles (GGA-PBE) data for a geometry-optimized MgTc3B structure, as listed in the Alexandria database.

As for the space group: Pm-3m. Its crystal system is cubic.

a = 4.1561 Å, b = 4.1561 Å, c = 4.1561 Å
α = 90.00°, β = 90.00°, γ = 90.00°
Last column: nearest neighbours and their distance in Å.
Element x y z (fractional)
1 Mg 0.0000 0.0000 0.0000  12 Tc 2.94
2 Tc 0.0000 0.5000 0.5000  2 B 2.08
3 Tc 0.5000 0.0000 0.5000  2 B 2.08
4 Tc 0.5000 0.5000 0.0000  2 B 2.08
5 B 0.5000 0.5000 0.5000  6 Tc 2.08

=====

Calculated size of the total moment (μB per cell), listed in the same order as above: 0.00 0.97 0.00 0.00 0.00 1.40 0.00 0.00 0.00 0.51 0.00 0.00
Calculated energy of formation from the pure elements (eV per atom), listed in the same order as above: -0.459 2.395 -0.068 -0.275 -0.400 0.001 -0.327 0.465 2.850 -0.229 -0.006 0.209
Calculated raw total energy (eV/atom), listed in the same order as above: -7.15 -3.44 -4.37 -4.58 -5.89 -4.43 -7.46 -5.86 -5.02 -6.19 -6.60 -7.67